w.
This record from the Alexandria database describes PPtBr after structural relaxation. The functional is PBE.

Output
Its size of the total moment is 0.00 μB per cell.

Cell lengths 3.0036, 3.0036, 15.7080 Å; angles 90.00, 90.00, 90.00 degrees
With the nearest neighbours (Å) after each atom.
Element x y z (fractional)
P 0.0000 0.0000 0.0000  4 Pt 2.41
P 0.5000 0.5000 0.5000  4 Pt 2.41
Pt 0.0000 0.0000 0.5731  4 P 2.41
Pt 0.5000 0.5000 0.0731  4 P 2.41
Br 0.0000 0.0000 0.2779  4 Br 3.00
Br 0.5000 0.5000 0.7779  4 Br 3.00



x.
This record from the Alexandria database describes PPtBr after structural relaxation. The functional is PBE.

Output
Its size of the total moment is 0.00 μB per cell.

Cell lengths 6.2622, 6.2622, 6.2622 Å; angles 90.00, 90.00, 90.00 degrees
With the nearest neighbours (Å) after each atom.
Element x y z (fractional)
P 0.0000 0.0000 0.0000  4 Pt 2.71
P 0.0000 0.5000 0.5000  4 Pt 2.71
P 0.5000 0.0000 0.5000  4 Pt 2.71
P 0.5000 0.5000 0.0000  4 Pt 2.71
Pt 0.2500 0.2500 0.7500  4 Br 2.71, 4 P 2.71
Pt 0.2500 0.7500 0.2500  4 Br 2.71, 4 P 2.71
Pt 0.7500 0.2500 0.2500  4 Br 2.71, 4 P 2.71
Pt 0.7500 0.7500 0.7500  4 P 2.71, 4 Br 2.71
Br 0.0000 0.0000 0.5000  4 Pt 2.71
Br 0.0000 0.5000 0.0000  4 Pt 2.71
Br 0.5000 0.0000 0.0000  4 Pt 2.71
Br 0.5000 0.5000 0.5000  4 Pt 2.71



y.
This record from the Alexandria database describes PPtBr after structural relaxation. The functional is PBE.

Output
Its size of the total moment is 0.00 μB per cell.

Cell lengths 6.2751, 6.2751, 6.2751 Å; angles 90.00, 90.00, 90.00 degrees
With the nearest neighbours (Å) after each atom.
Element x y z (fractional)
P 0.0000 0.0000 0.0000  4 Pt 2.72, 4 Br 2.72
P 0.0000 0.5000 0.5000  4 Pt 2.72, 4 Br 2.72
P 0.5000 0.0000 0.5000  4 Pt 2.72, 4 Br 2.72
P 0.5000 0.5000 0.0000  4 Pt 2.72, 4 Br 2.72
Pt 0.2500 0.2500 0.2500  4 P 2.72
Pt 0.2500 0.7500 0.7500  4 P 2.72
Pt 0.7500 0.2500 0.7500  4 P 2.72
Pt 0.7500 0.7500 0.2500  4 P 2.72
Br 0.2500 0.2500 0.7500  4 P 2.72
Br 0.2500 0.7500 0.2500  4 P 2.72
Br 0.7500 0.2500 0.2500  4 P 2.72
Br 0.7500 0.7500 0.7500  4 P 2.72



Which of them is the most stable, and which is the least stable? w and y, in that order.



w.
This record from the Alexandria database describes Rb2PPtBr after structural relaxation. The functional is PBE.

Output
Its size of the total moment is 0.00 μB per cell.

Cell lengths 6.6256, 6.6256, 4.3426 Å; angles 90.00, 90.00, 90.00 degrees
With the nearest neighbours (Å) after each atom.
Element x y z (fractional)
Rb 0.0000 0.5000 0.0000  2 P 3.31
Rb 0.5000 0.0000 0.0000  2 P 3.31
P 0.0000 0.0000 0.0000  2 Pt 2.17
Pt 0.0000 0.0000 0.5000  2 P 2.17
Br 0.5000 0.5000 0.5000  8 Rb 3.96, 2 Br 4.34



x.
This record from the Alexandria database describes Rb2PPtBr after structural relaxation. The functional is PBE.

Output
Its size of the total moment is 0.00 μB per cell.

Cell lengths 6.6252, 6.6252, 4.3584 Å; angles 90.00, 90.00, 90.00 degrees
With the nearest neighbours (Å) after each atom.
Element x y z (fractional)
Rb 0.0000 0.5000 0.0000  2 Pt 3.31
Rb 0.5000 0.0000 0.0000  2 Pt 3.31
P 0.0000 0.0000 0.5000  2 Pt 2.18
Pt 0.0000 0.0000 0.0000  2 P 2.18
Br 0.5000 0.5000 0.5000  8 Rb 3.97, 2 Br 4.36



Which of them is the most stable, and which is the least stable? x and w, in that order.



w.
This record from the Alexandria database describes RbPBr2 after structural relaxation. The functional is PBE.

Output
Its size of the total moment is 8.00 μB per cell.

Cell lengths 7.9199, 7.9199, 7.9199 Å; angles 90.00, 90.00, 90.00 degrees
With the nearest neighbours (Å) after each atom.
Element x y z (fractional)
Rb 0.0000 0.0000 0.0000  8 Br 3.43
Rb 0.0000 0.5000 0.5000  8 Br 3.43
Rb 0.5000 0.0000 0.5000  8 Br 3.43
Rb 0.5000 0.5000 0.0000  8 Br 3.43
P 0.0000 0.0000 0.5000  8 Br 3.43
P 0.0000 0.5000 0.0000  8 Br 3.43
P 0.5000 0.0000 0.0000  8 Br 3.43
P 0.5000 0.5000 0.5000  8 Br 3.43
Br 0.2500 0.2500 0.2500  4 Rb 3.43, 4 P 3.43
Br 0.2500 0.2500 0.7500  4 Rb 3.43, 4 P 3.43
Br 0.2500 0.7500 0.2500  4 Rb 3.43, 4 P 3.43
Br 0.2500 0.7500 0.7500  4 Rb 3.43, 4 P 3.43
Br 0.7500 0.2500 0.2500  4 Rb 3.43, 4 P 3.43
Br 0.7500 0.2500 0.7500  4 Rb 3.43, 4 P 3.43
Br 0.7500 0.7500 0.2500  4 Rb 3.43, 4 P 3.43
Br 0.7500 0.7500 0.7500  4 Rb 3.43, 4 P 3.43



x.
This record from the Alexandria database describes RbPBr2 after structural relaxation. The functional is PBE.

Output
Its size of the total moment is 0.00 μB per cell.

Cell lengths 6.3231, 6.3231, 16.1963 Å; angles 90.00, 90.00, 90.00 degrees
With the nearest neighbours (Å) after each atom.
Element x y z (fractional)
Rb 0.0000 0.0000 0.0000  4 Br 3.49
Rb 0.0000 0.5000 0.2500  4 Br 3.49
Rb 0.5000 0.0000 0.7500  4 Br 3.49
Rb 0.5000 0.5000 0.5000  4 Br 3.49
P 0.0000 0.0000 0.5000  4 Br 2.69
P 0.0000 0.5000 0.7500  4 Br 2.69
P 0.5000 0.0000 0.2500  4 Br 2.69
P 0.5000 0.5000 0.0000  4 Br 2.69
Br 0.1256 0.2500 0.6250  2 P 2.69
Br 0.2500 0.6256 0.8750  2 P 2.69
Br 0.2500 0.8744 0.3750  2 P 2.69
Br 0.3744 0.2500 0.1250  2 P 2.69
Br 0.6256 0.7500 0.1250  2 P 2.69
Br 0.7500 0.1256 0.3750  2 P 2.69
Br 0.7500 0.3744 0.8750  2 P 2.69
Br 0.8744 0.7500 0.6250  2 P 2.69



Which of them is the most stable, and which is the least stable? x and w, in that order.



w.
This record from the Alexandria database describes RbP2Br after structural relaxation. The functional is PBE.

Output
Its size of the total moment is 0.00 μB per cell.

Cell lengths 7.4707, 7.4707, 7.4707 Å; angles 90.00, 90.00, 90.00 degrees
With the nearest neighbours (Å) after each atom.
Element x y z (fractional)
Rb 0.0000 0.0000 0.0000  8 P 3.23
Rb 0.0000 0.5000 0.5000  8 P 3.23
Rb 0.5000 0.0000 0.5000  8 P 3.23
Rb 0.5000 0.5000 0.0000  8 P 3.23
P 0.2500 0.2500 0.2500  4 Br 3.23, 4 Rb 3.23
P 0.2500 0.2500 0.7500  4 Rb 3.23, 4 Br 3.23
P 0.2500 0.7500 0.2500  4 Rb 3.23, 4 Br 3.23
P 0.2500 0.7500 0.7500  4 Br 3.23, 4 Rb 3.23
P 0.7500 0.2500 0.2500  4 Rb 3.23, 4 Br 3.23
P 0.7500 0.2500 0.7500  4 Br 3.23, 4 Rb 3.23
P 0.7500 0.7500 0.2500  4 Br 3.23, 4 Rb 3.23
P 0.7500 0.7500 0.7500  4 Rb 3.23, 4 Br 3.23
Br 0.0000 0.0000 0.5000  8 P 3.23
Br 0.0000 0.5000 0.0000  8 P 3.23
Br 0.5000 0.0000 0.0000  8 P 3.23
Br 0.5000 0.5000 0.5000  8 P 3.23



x.
This record from the Alexandria database describes RbP2Br after structural relaxation. The functional is PBE.

Output
Its size of the total moment is 0.00 μB per cell.

Cell lengths 4.4524, 4.4524, 31.9198 Å; angles 90.00, 90.00, 90.00 degrees
With the nearest neighbours (Å) after each atom.
Element x y z (fractional)
Rb 0.0000 0.2500 0.3750  4 Br 3.15
Rb 0.0000 0.7500 0.6250  4 Br 3.15
Rb 0.5000 0.2500 0.1250  4 Br 3.15
Rb 0.5000 0.7500 0.8750  4 Br 3.15
P 0.0000 0.0000 0.0000  2 P 2.23
P 0.0000 0.5000 0.0000  2 P 2.23
P 0.2500 0.2500 0.7500  2 P 2.23
P 0.2500 0.7500 0.2500  2 P 2.23
P 0.5000 0.0000 0.5000  2 P 2.23
P 0.5000 0.5000 0.5000  2 P 2.23
P 0.7500 0.2500 0.7500  2 P 2.23
P 0.7500 0.7500 0.2500  2 P 2.23
Br 0.0000 0.2500 0.8750  4 Rb 3.15
Br 0.0000 0.7500 0.1250  4 Rb 3.15
Br 0.5000 0.2500 0.6250  4 Rb 3.15
Br 0.5000 0.7500 0.3750  4 Rb 3.15



Which of them is the most stable, and which is the least stable? x and w, in that order.



w.
This record from the Alexandria database describes Rb2P2Br after structural relaxation. The functional is PBE.

Output
Its size of the total moment is 0.00 μB per cell.

Cell lengths 9.0434, 9.0434, 4.3880 Å; angles 90.00, 90.00, 90.00 degrees
With the nearest neighbours (Å) after each atom.
Element x y z (fractional)
Rb 0.2096 0.2904 0.0000  6 P 3.50-3.60, 4 Br 3.91
Rb 0.2904 0.7904 0.0000  6 P 3.50-3.60, 4 Br 3.91
Rb 0.7096 0.2096 0.0000  6 P 3.50-3.60, 4 Br 3.91
Rb 0.7904 0.7096 0.0000  6 P 3.50-3.60, 4 Br 3.91
P 0.0774 0.5774 0.5000  1 P 1.98
P 0.4226 0.0774 0.5000  1 P 1.98
P 0.5774 0.9226 0.5000  1 P 1.98
P 0.9226 0.4226 0.5000  1 P 1.98
Br 0.0000 0.0000 0.5000  4 P 3.89, 8 Rb 3.91
Br 0.5000 0.5000 0.5000  4 P 3.89, 8 Rb 3.91



x.
This record from the Alexandria database describes Rb2P2Br after structural relaxation. The functional is PBE.

Output
Its size of the total moment is 1.97 μB per cell.

Cell lengths 6.3995, 6.3995, 9.6364 Å; angles 90.00, 90.00, 90.00 degrees
With the nearest neighbours (Å) after each atom.
Element x y z (fractional)
Rb 0.0000 0.5000 0.2500  4 P 3.50
Rb 0.0000 0.5000 0.7500  4 P 3.50
Rb 0.5000 0.0000 0.2500  4 P 3.50
Rb 0.5000 0.0000 0.7500  4 P 3.50
P 0.0000 0.0000 0.1023  1 P 1.97
P 0.0000 0.0000 0.8977  1 P 1.97
P 0.5000 0.5000 0.3977  1 P 1.97
P 0.5000 0.5000 0.6023  1 P 1.97
Br 0.0000 0.0000 0.5000  2 P 3.83, 8 Rb 4.01
Br 0.5000 0.5000 0.0000  2 P 3.83, 8 Rb 4.01



Which of them is the most stable, and which is the least stable? w and x, in that order.



w.
This record from the Alexandria database describes RbPS2Br after structural relaxation. The functional is PBE.

Output
Its size of the total moment is 4.26 μB per cell.

Cell lengths 6.2964, 6.2964, 6.7455 Å; angles 90.00, 90.00, 90.00 degrees
With the nearest neighbours (Å) after each atom.
Element x y z (fractional)
Rb 0.0000 0.0000 0.0000  4 S 3.15, 2 P 3.37
P 0.0000 0.0000 0.5000  2 Rb 3.37
S 0.0000 0.5000 0.0000  2 Rb 3.15
S 0.5000 0.0000 0.0000  2 Rb 3.15
Br 0.5000 0.5000 0.5000  4 P 4.45, 8 S 4.61



x.
This record from the Alexandria database describes RbPS2Br after structural relaxation. The functional is PBE.

Output
Its size of the total moment is 1.45 μB per cell.

Cell lengths 5.2198, 5.2198, 5.0833 Å; angles 90.00, 90.00, 90.00 degrees
With the nearest neighbours (Å) after each atom.
Element x y z (fractional)
Rb 0.0000 0.0000 0.0000  8 S 3.64, 4 P 3.69
P 0.5000 0.5000 0.0000  2 Br 2.54
S 0.0000 0.5000 0.5000  2 Br 2.61
S 0.5000 0.0000 0.5000  2 Br 2.61
Br 0.5000 0.5000 0.5000  2 P 2.54, 4 S 2.61



Which of them is the most stable, and which is the least stable? x and w, in that order.